VASP calculation (PBE) on K3AgN after structural relaxation.

Size of the total moment (μB per formula unit): 1.0
DOS(E_F) (states/eV per cell): 3.4
Polymorph energy (0 for the lowest one) (eV/atom): 0.0000
Space-group type: Pm-3m
Raw formation energy (eV/atom): 0.3927

Cell: 5.521 5.521 5.521 Å, 90.00 90.00 90.00°
Fractional coordinates of all 5 atoms:
K1 0.000 0.000 0.500
K2 0.000 0.500 0.000
K3 0.500 0.000 0.000
Ag1 0.500 0.500 0.500
N1 0.000 0.000 0.000